# DyMg4Tl7

A geometry-optimized DyMg4Tl7 structure (PBE, the Alexandria database).

Cell lengths 5.951, 8.604, 7.811 Å; angles 67.93, 67.61, 69.77 degrees
Element x y z (fractional)
Dy 0.000 0.000 0.000
Mg 0.527 0.302 0.643
Mg 0.473 0.698 0.357
Mg 0.694 0.664 0.947
Mg 0.306 0.336 0.053
Tl 0.795 0.888 0.521
Tl 0.205 0.112 0.479
Tl 0.069 0.597 0.265
Tl 0.931 0.403 0.735
Tl 0.272 0.692 0.765
Tl 0.500 0.000 0.000
Tl 0.728 0.308 0.235

Output
Its space group is No. 12. As for the calculated volume: 333.0 Å³/f.u. The calculation puts the total DFT energy (no corrections) at -2.28 eV/atom.


# Lu3Pd4

A geometry-optimized Lu3Pd4 structure (PBE, the Alexandria database).

Cell lengths 7.709, 7.709, 7.709 Å; angles 114.15, 114.15, 114.15 degrees
Element x y z (fractional)
Lu 0.980 0.596 0.728
Lu 0.728 0.980 0.596
Lu 0.596 0.728 0.980
Lu 0.020 0.404 0.272
Lu 0.272 0.020 0.404
Lu 0.404 0.272 0.020
Pd 0.000 0.000 0.000
Pd 0.500 0.500 0.500
Pd 0.932 0.767 0.452
Pd 0.452 0.932 0.767
Pd 0.767 0.452 0.932
Pd 0.068 0.233 0.548
Pd 0.548 0.068 0.233
Pd 0.233 0.548 0.068

Output
Its space group is No. 148. As for the calculated volume: 137.6 Å³/f.u. The calculation puts the total DFT energy (no corrections) at -5.90 eV/atom.